Material: K4Na2H18PdI2O20
Method: DFT, PBE-GGA
State: optimized geometry

Unit cell a=6.852 b=7.281 c=11.000 alpha=93.37 beta=103.51 gamma=94.71
Fractional positions:
K: 0.086 0.309 0.127
K: 0.095 0.335 0.610
K: 0.905 0.665 0.390
K: 0.914 0.691 0.873
Na: 0.302 0.822 0.237
Na: 0.698 0.178 0.763
H: 0.098 0.115 0.379
H: 0.143 0.142 0.858
H: 0.171 0.361 0.860
H: 0.306 0.015 0.568
H: 0.335 0.134 0.390
H: 0.351 0.613 0.000
H: 0.364 0.644 0.473
H: 0.387 0.490 0.372
H: 0.466 0.524 0.121
H: 0.534 0.476 0.879
H: 0.613 0.510 0.628
H: 0.636 0.356 0.527
H: 0.649 0.387 0.000
H: 0.665 0.866 0.610
H: 0.694 0.985 0.432
H: 0.829 0.639 0.140
H: 0.857 0.858 0.142
H: 0.902 0.885 0.621
Pd: 0.500 0.000 0.000
I: 0.337 0.798 0.742
I: 0.663 0.202 0.258
O: 0.070 0.256 0.857
O: 0.080 0.736 0.641
O: 0.221 0.045 0.401
O: 0.235 0.934 0.870
O: 0.307 0.595 0.384
O: 0.325 0.579 0.826
O: 0.344 0.590 0.087
O: 0.350 0.042 0.661
O: 0.403 0.104 0.147
O: 0.477 0.701 0.629
O: 0.523 0.299 0.371
O: 0.597 0.896 0.853
O: 0.650 0.958 0.339
O: 0.656 0.410 0.913
O: 0.675 0.421 0.174
O: 0.693 0.405 0.616
O: 0.765 0.066 0.130
O: 0.779 0.955 0.599
O: 0.920 0.264 0.359
O: 0.930 0.744 0.143

Results
Spin magnetization, μB per formula unit: 0.2
Electronic total energy, eV/cell: -225.863
Space-group type: P-1, No. 2